# LiCdGa4

A relaxed structure of LiCdGa4 (GGA-PBE, the Alexandria database).

Values from the calculation:
E_tot (eV for the cell shown): -30.63
Total magnetization (μB/cell): 0.00
Space-group type: C2/c (15)
Calculated volume (Å³ per cell): 231.2
Calculated formation energy (eV per atom): -0.063

Cell lengths 10.1893, 10.1893, 5.1179 Å; angles 90.70, 90.70, 25.79 degrees
Last column: nearest neighbours and their distance in Å.
Sites, in units of the cell vectors:
Li  0.1601  0.8399  0.7500  8 Ga 2.64-2.92, 2 Li 2.94
Li  0.8399  0.1601  0.2500  8 Ga 2.64-2.92, 2 Li 2.94
Cd  0.0000  0.5000  0.5000  4 Ga 2.73-3.00
Cd  0.5000  0.0000  0.0000  4 Ga 2.73-3.00
Ga  0.0085  0.7110  0.8145  5 Ga 2.66-2.89, 1 Cd 2.73, 1 Li 2.81
Ga  0.2780  0.5802  0.2755  3 Li 2.64-2.92, 6 Ga 2.66-2.90
Ga  0.2890  0.9915  0.6855  5 Ga 2.66-2.89, 1 Cd 2.73, 1 Li 2.81
Ga  0.4198  0.7220  0.2245  3 Li 2.64-2.92, 6 Ga 2.66-2.90
Ga  0.5802  0.2780  0.7755  3 Li 2.64-2.92, 6 Ga 2.66-2.90
Ga  0.7110  0.0085  0.3145  5 Ga 2.66-2.89, 1 Cd 2.73, 1 Li 2.81
Ga  0.7220  0.4198  0.7245  3 Li 2.64-2.92, 6 Ga 2.66-2.90
Ga  0.9915  0.2890  0.1855  5 Ga 2.66-2.89, 1 Cd 2.73, 1 Li 2.81

***

# LiCd14Ga

A relaxed structure of LiCd14Ga (GGA-PBE, the Alexandria database).

Values from the calculation:
E_tot (eV for the cell shown): -18.27
Total magnetization (μB/cell): 0.00
Space-group type: Amm2 (38)
Calculated volume (Å³ per cell): 349.7
Calculated formation energy (eV per atom): -0.032

Cell lengths 10.7873, 6.1626, 6.1626 Å; angles 58.59, 90.00, 90.00 degrees
Last column: nearest neighbours and their distance in Å.
Sites, in units of the cell vectors:
Li  0.0000  0.0000  0.0000  2 Ga 3.02, 10 Cd 3.07-3.27
Cd  0.0000  0.5001  0.9962  8 Cd 2.99-3.27, 2 Ga 3.06-3.11, 2 Li 3.07-3.09
Cd  0.0000  0.9962  0.5001  8 Cd 2.99-3.27, 2 Ga 3.06-3.11, 2 Li 3.07-3.09
Cd  0.2404  0.1839  0.6843  9 Cd 3.01-3.27, 1 Ga 3.07, 1 Li 3.08
Cd  0.2404  0.6843  0.1839  9 Cd 3.01-3.27, 1 Ga 3.07, 1 Li 3.08
Cd  0.2435  0.1812  0.1812  10 Cd 3.02-3.22, 1 Li 3.27
Cd  0.2514  0.6847  0.6847  11 Cd 3.02-3.35
Cd  0.5000  0.3695  0.8714  10 Cd 3.00-3.22
Cd  0.5000  0.3706  0.3706  10 Cd 3.02-3.25
Cd  0.5000  0.8714  0.3695  10 Cd 3.00-3.22
Cd  0.5000  0.8711  0.8711  12 Cd 3.02-3.35
Cd  0.7486  0.6847  0.6847  11 Cd 3.02-3.35
Cd  0.7565  0.1812  0.1812  10 Cd 3.02-3.22, 1 Li 3.27
Cd  0.7596  0.1839  0.6843  9 Cd 3.01-3.27, 1 Ga 3.07, 1 Li 3.08
Cd  0.7596  0.6843  0.1839  9 Cd 3.01-3.27, 1 Ga 3.07, 1 Li 3.08
Ga  0.0000  0.4948  0.4948  2 Li 3.02, 8 Cd 3.06-3.11

***

# Li5Cd4Ga2

A relaxed structure of Li5Cd4Ga2 (GGA-PBE, the Alexandria database).

Values from the calculation:
E_tot (eV for the cell shown): -43.89
Total magnetization (μB/cell): 0.00
Space-group type: Pbam (55)
Calculated volume (Å³ per cell): 401.4
Calculated formation energy (eV per atom): -0.242

Cell lengths 7.3274, 17.2131, 3.1827 Å; angles 90.00, 90.00, 90.00 degrees
Last column: nearest neighbours and their distance in Å.
Sites, in units of the cell vectors:
Li  0.0000  0.0000  0.0000  8 Cd 2.92-3.08, 4 Li 2.95-3.18
Li  0.1331  0.4288  0.0000  2 Ga 2.71, 6 Cd 2.91-3.00, 1 Li 2.95
Li  0.2503  0.2114  0.0000  4 Ga 2.71-2.73, 2 Cd 2.97
Li  0.2497  0.7114  0.0000  4 Ga 2.71-2.73, 2 Cd 2.97
Li  0.3669  0.9288  0.0000  2 Ga 2.71, 6 Cd 2.91-3.00, 1 Li 2.95
Li  0.5000  0.5000  0.0000  8 Cd 2.92-3.08, 4 Li 2.95-3.18
Li  0.6331  0.0712  0.0000  2 Ga 2.71, 6 Cd 2.91-3.00, 1 Li 2.95
Li  0.7503  0.2886  0.0000  4 Ga 2.71-2.73, 2 Cd 2.97
Li  0.7497  0.7886  0.0000  4 Ga 2.71-2.73, 2 Cd 2.97
Li  0.8669  0.5712  0.0000  2 Ga 2.71, 6 Cd 2.91-3.00, 1 Li 2.95
Cd  0.0739  0.8501  0.5000  2 Ga 2.85, 8 Li 3.00-3.15, 3 Cd 3.05-3.18
Cd  0.2058  0.5670  0.5000  1 Ga 2.87, 8 Li 2.91-2.97, 3 Cd 3.05-3.18
Cd  0.2942  0.0670  0.5000  1 Ga 2.87, 8 Li 2.91-2.97, 3 Cd 3.05-3.18
Cd  0.4261  0.3501  0.5000  2 Ga 2.85, 8 Li 3.00-3.15, 3 Cd 3.05-3.18
Cd  0.5739  0.6499  0.5000  2 Ga 2.85, 8 Li 3.00-3.15, 3 Cd 3.05-3.18
Cd  0.7058  0.9330  0.5000  1 Ga 2.87, 8 Li 2.91-2.97, 3 Cd 3.05-3.18
Cd  0.7942  0.4330  0.5000  1 Ga 2.87, 8 Li 2.91-2.97, 3 Cd 3.05-3.18
Cd  0.9261  0.1499  0.5000  2 Ga 2.85, 8 Li 3.00-3.15, 3 Cd 3.05-3.18
Ga  0.0503  0.3068  0.5000  6 Li 2.71-2.73, 3 Cd 2.85-2.87
Ga  0.4497  0.8068  0.5000  6 Li 2.71-2.73, 3 Cd 2.85-2.87
Ga  0.5503  0.1932  0.5000  6 Li 2.71-2.73, 3 Cd 2.85-2.87
Ga  0.9497  0.6932  0.5000  6 Li 2.71-2.73, 3 Cd 2.85-2.87